1.
NbTlAs3 | PBE | optimized geometry

Lattice parameters (Å, degrees): 5.0730 5.0730 5.0730 90.00 90.00 90.00
Space group Pm-3m (No. 221)
Asymmetric unit:
Nb  0.0000  0.0000  0.0000 [1 per cell]
Tl  0.5000  0.5000  0.5000 [1 per cell]
As  0.0000  0.0000  0.5000 [3 per cell]

Computed properties:
Formation energy from the elements: 0.1052 eV/atom
N(E_F): 0.8510 states/eV per atom
ΔE to the lowest computed polymorph: 0.0000 eV/atom
Total moment: 0.000 Bohr magnetons per cell

=====

2.
NbTl3As | PBE | optimized geometry

Lattice parameters (Å, degrees): 5.5102 5.5102 5.5102 90.00 90.00 90.00
Space group Pm-3m (No. 221)
Asymmetric unit:
Nb  0.0000  0.0000  0.0000 [1 per cell]
Tl  0.0000  0.5000  0.5000 [3 per cell]
As  0.5000  0.5000  0.5000 [1 per cell]

Computed properties:
Formation energy from the elements: 1.1299 eV/atom
N(E_F): 1.0360 states/eV per atom
ΔE to the lowest computed polymorph: 0.1857 eV/atom
Total moment: 4.108 Bohr magnetons per cell

=====

3.
NbTl2VAs | PBE | optimized geometry

Lattice parameters (Å, degrees): 5.2653 5.2653 4.5012 90.00 90.00 90.00
Space group P4/mmm (No. 123)
Asymmetric unit:
Nb  0.0000  0.0000  0.0000 [1 per cell]
Tl  0.0000  0.5000  0.5000 [2 per cell]
V  0.5000  0.5000  0.0000 [1 per cell]
As  0.5000  0.5000  0.5000 [1 per cell]

Computed properties:
Formation energy from the elements: 1.2904 eV/atom
N(E_F): 1.0252 states/eV per atom
Total moment: 0.706 Bohr magnetons per cell

=====

4.
TmNbAs2 | PBE | optimized geometry

Lattice parameters (Å, degrees): 3.7673 3.7673 20.1071 90.00 90.00 120.00
Space group R3m (No. 160, hexagonal axes)
Asymmetric unit:
Tm  0.0000  0.0000  0.0000 [3 per cell]
Nb  0.0000  0.0000  0.1737 [3 per cell]
As  0.0000  0.0000  0.4275 [3 per cell]
As  0.0000  0.0000  0.5813 [3 per cell]

Computed properties:
Formation energy from the elements: -0.9806 eV/atom
N(E_F): 0.0680 states/eV per atom
ΔE to the lowest computed polymorph: 0.0000 eV/atom
Total moment: 0.000 Bohr magnetons per cell

=====

5.
TmNbAs2 | PBE | optimized geometry

Lattice parameters (Å, degrees): 3.8438 3.8438 19.2768 90.00 90.00 120.00
Space group R-3m (No. 166, hexagonal axes)
Asymmetric unit:
Tm  0.0000  0.0000  0.0000 [3 per cell]
Nb  0.0000  0.0000  0.5000 [3 per cell]
As  0.0000  0.0000  0.2441 [6 per cell]

Computed properties:
Formation energy from the elements: -0.8904 eV/atom
N(E_F): 0.4315 states/eV per atom
ΔE to the lowest computed polymorph: 0.0902 eV/atom
Total moment: 0.000 Bohr magnetons per cell

=====

6.
UNb2As3 | PBE | optimized geometry

Lattice parameters (Å, degrees): 3.5487 9.9041 6.9231 90.00 90.00 90.00
Space group Pmc2_1 (No. 26)
Asymmetric unit:
U  0.0000  0.1390  0.0000 [2 per cell]
Nb  0.0000  0.2275  0.5072 [2 per cell]
Nb  0.5000  0.4803  0.5190 [2 per cell]
As  0.0000  0.3980  0.7837 [2 per cell]
As  0.5000  0.0618  0.6761 [2 per cell]
As  0.5000  0.2939  0.2448 [2 per cell]

Computed properties:
Formation energy from the elements: -0.5374 eV/atom
N(E_F): 1.3131 states/eV per atom
Total moment: 5.556 Bohr magnetons per cell

=====

7.
NbVAs | PBE | optimized geometry

Lattice parameters (Å, degrees): 7.0067 9.6617 12.4304 90.00 90.00 90.00
Space group Fddd (No. 70, origin choice 2)
Asymmetric unit:
Nb  0.0000  0.0000  0.0000 [16 per cell]
V  0.1250  0.1250  0.4914 [16 per cell]
As  0.1250  0.3007  0.6250 [16 per cell]

Computed properties:
Formation energy from the elements: -0.0178 eV/atom
N(E_F): 0.8703 states/eV per atom
Total moment: 0.001 Bohr magnetons per cell

=====

8.
Nb2VAs | PBE | optimized geometry

Lattice parameters (Å, degrees): 5.9085 3.4676 6.7282 90.00 103.82 90.00
Space group P2_1/m (No. 11)
Asymmetric unit:
Nb  0.0923  0.2500  0.3683 [2 per cell]
Nb  0.2584  0.7500  0.0972 [2 per cell]
V  0.4264  0.7500  0.6113 [2 per cell]
As  0.2412  0.2500  0.7970 [2 per cell]

Computed properties:
Formation energy from the elements: -0.2941 eV/atom
N(E_F): 0.6910 states/eV per atom
Total moment: 0.000 Bohr magnetons per cell